# Ca3BiPb

Crystalline Ca3BiPb at its relaxed geometry (PBE-GGA, Alexandria via LeMat-Bulk).

Size of the total moment (μB per cell): 0.0
VASP energy (eV per atom): -2.9680

abc: 5.8790 5.8790 5.8790
angles: 90.00 90.00 90.00
Closest atoms and distances in Å follow each position.
Space group Pm-3m (No. 221)
Symmetry-distinct sites (fractional):
Ca (0.0000, 0.0000, 0.5000)  2 Pb 2.94
Bi (0.5000, 0.5000, 0.5000)  12 Ca 4.16
Pb (0.0000, 0.0000, 0.0000)  6 Ca 2.94